# Y5ThBi4 (PBE, relaxed)
# Calculated total energy, eV per atom: -5.977
# Symmetry: C2/m (12)
data_Y5ThBi4
_chemical_formula_sum 'Y5 Th1 Bi4'
_space_group_name_H-M_alt 'P 1'
_space_group_IT_number 1
_cell_length_a 4.4564
_cell_length_b 8.5837
_cell_length_c 9.7924
_cell_angle_alpha 105.98
_cell_angle_beta 103.15
_cell_angle_gamma 90.00
loop_
_space_group_symop_operation_xyz
'x,y,z'
loop_
_atom_site_label
_atom_site_fract_x
_atom_site_fract_y
_atom_site_fract_z
Y1 0.8124 0.6522 0.6248
Y2 0.8416 0.1935 0.6833
Y3 0.1584 0.8065 0.3167
Y4 0.5000 0.5000 0.0000
Y5 0.1876 0.3478 0.3752
Th1 0.5000 0.0000 0.0000
Bi1 0.3269 0.9207 0.6539
Bi2 0.9832 0.7284 0.9664
Bi3 0.6731 0.0793 0.3461
Bi4 0.0168 0.2716 0.0336